Here is a relaxed Tb3Pr8Dy crystal from Alexandria. Energies are from PBE.

Calculated values
The value obtained for the raw total energy is -55.432 eV/cell. For the size of the total moment, the calculation gives 0.00 μB/cell. As for the volume: 416 Å³ per cell. The value obtained for the formation energy is 108 meV per atom.

Cell: 12.124 12.841 9.915 Å, 147.07 90.00 118.17°
Sites, in units of the cell vectors:
Tb1 0.500 0.000 0.000
Tb2 0.500 0.500 0.000
Tb3 0.000 0.500 0.000
Pr1 0.319 0.637 0.971
Pr2 0.681 0.363 0.029
Pr3 0.318 0.138 0.972
Pr4 0.820 0.138 0.972
Pr5 0.818 0.637 0.972
Pr6 0.182 0.363 0.028
Pr7 0.180 0.862 0.028
Pr8 0.682 0.862 0.028
Dy1 0.000 0.000 0.000